Record 1
A relaxed Mg6Hg6Bi crystal. Source: the Alexandria database, functional PBE.

a = 6.2387 Å, b = 6.2387 Å, c = 9.3916 Å
α = 90.00°, β = 90.00°, γ = 120.00°
Closest atoms and distances in Å follow each position.
Space group P6/mmm (No. 191)
Asymmetric unit:
Mg: 0.0000 0.0000 0.1643 (multiplicity 2)  1 Mg 3.09, 1 Bi 3.15, 6 Hg 3.21
Mg: 0.3333 0.6667 0.0000 (multiplicity 2)  6 Hg 2.93
Mg: 0.3333 0.6667 0.5000 (multiplicity 2)  6 Hg 2.99
Hg: 0.0000 0.5000 0.2463 (multiplicity 6)  6 Mg 2.93-3.21, 4 Hg 3.12
Bi: 0.0000 0.0000 0.5000 (multiplicity 1)  2 Mg 3.15

Properties
DFT total energy: -1.2315 eV/atom
crystal system: hexagonal
magnetization: 0.00 μB/f.u.
ΔE_f: -0.0577 eV/atom

***

Record 2
A relaxed BaHO3 crystal. Source: the Alexandria database, functional PBE.

a = 4.5677 Å, b = 4.5677 Å, c = 11.9883 Å
α = 90.00°, β = 90.00°, γ = 120.00°
Closest atoms and distances in Å follow each position.
Space group R3m (No. 160, hexagonal axes)
Asymmetric unit:
Ba: 0.0000 0.0000 0.0000 (multiplicity 3)  9 O 2.76-2.77
H: 0.0000 0.0000 0.4732 (multiplicity 3)  3 O 1.34
O: 0.1684 0.3367 0.4633 (multiplicity 9)  1 H 1.34

Properties
DFT total energy: -4.7957 eV/atom
crystal system: trigonal
magnetization: 0.00 μB/f.u.

***

Record 3
A relaxed RbGaNiB2 crystal. Source: the Alexandria database, functional PBE.

a = 4.1214 Å, b = 4.1214 Å, c = 4.7756 Å
α = 90.00°, β = 90.00°, γ = 90.00°
Closest atoms and distances in Å follow each position.
Space group P4/mmm (No. 123)
Asymmetric unit:
Rb: 0.0000 0.0000 0.0000 (multiplicity 1)  4 Ga 2.91, 8 B 3.15
Ga: 0.5000 0.5000 0.0000 (multiplicity 1)  2 Ni 2.39
Ni: 0.5000 0.5000 0.5000 (multiplicity 1)  4 B 2.06
B: 0.0000 0.5000 0.5000 (multiplicity 2)  2 Ni 2.06

Properties
DFT total energy: -3.7000 eV/atom
crystal system: tetragonal
magnetization: 0.00 μB/f.u.
ΔE_f: 0.9261 eV/atom

***

Record 4
A relaxed TaMn2Br crystal. Source: the Alexandria database, functional PBE.

a = 9.3761 Å, b = 3.0421 Å, c = 4.7803 Å
α = 90.00°, β = 103.81°, γ = 90.00°
Closest atoms and distances in Å follow each position.
Space group Cm (No. 8)
Asymmetric unit:
Ta: 0.0000 0.0000 0.0000 (multiplicity 2)  3 Br 2.72-2.77, 7 Mn 2.73-3.00, 2 Ta 3.04
Mn: 0.2324 0.0000 0.6925 (multiplicity 2)  3 Mn 2.70-2.72, 4 Br 2.82-2.86, 3 Ta 2.90-3.00
Mn: 0.4898 0.0000 0.5225 (multiplicity 2)  3 Mn 2.70-2.72, 4 Ta 2.73-2.95, 2 Br 2.85
Br: 0.2506 0.5000 0.1966 (multiplicity 2)  3 Ta 2.72-2.77, 6 Mn 2.82-2.86, 2 Br 3.04

Properties
DFT total energy: -7.3847 eV/atom
crystal system: monoclinic
magnetization: 6.04 μB/f.u.
uncorrected formation energy: 2.33 eV per formula unit

***

Record 5
A relaxed Ca2PmHg7 crystal. Source: the Alexandria database, functional PBE.

a = 5.0861 Å, b = 5.0861 Å, c = 12.2282 Å
α = 90.00°, β = 90.00°, γ = 120.00°
Closest atoms and distances in Å follow each position.
Space group P3m1 (No. 156)
Asymmetric unit:
Ca: 0.0000 0.0000 0.0000 (multiplicity 1)  8 Hg 3.08-3.25
Ca: 0.3333 0.6667 0.6316 (multiplicity 1)  10 Hg 3.24-3.55
Pm: 0.6667 0.3333 0.3869 (multiplicity 1)  10 Hg 3.12-3.37
Hg: 0.0000 0.0000 0.2515 (multiplicity 1)  4 Hg 3.00-3.08, 1 Ca 3.08
Hg: 0.0000 0.0000 0.5035 (multiplicity 1)  2 Hg 2.93-3.08, 3 Pm 3.26
Hg: 0.0000 0.0000 0.7430 (multiplicity 1)  4 Hg 2.93-3.00, 4 Ca 3.14-3.24
Hg: 0.3333 0.6667 0.3000 (multiplicity 1)  3 Hg 3.00, 3 Pm 3.12
Hg: 0.3333 0.6667 0.9112 (multiplicity 1)  4 Ca 3.13-3.42, 3 Hg 3.26
Hg: 0.6667 0.3333 0.1136 (multiplicity 1)  3 Ca 3.25, 1 Pm 3.34, 3 Hg 3.39
Hg: 0.6667 0.3333 0.7948 (multiplicity 1)  6 Hg 3.00-3.26

Properties
DFT total energy: -1.4122 eV/atom
crystal system: trigonal
magnetization: 0.00 μB/f.u.
ΔE_f: -0.3255 eV/atom

***

Record 6
A relaxed Tb6Y3Er2Tl crystal. Source: the Alexandria database, functional PBE.

a = 6.1214 Å, b = 10.6152 Å, c = 11.6313 Å
α = 90.00°, β = 100.20°, γ = 90.00°
Closest atoms and distances in Å follow each position.
Space group C2/m (No. 12)
Asymmetric unit:
Tb: 0.2465 0.1650 0.2458 (multiplicity 8)  1 Tl 3.46, 2 Er 3.49, 6 Tb 3.50-3.56, 3 Y 3.55-3.57
Tb: 0.2482 0.0000 0.7527 (multiplicity 4)  1 Tl 3.48, 2 Er 3.49, 6 Tb 3.50-3.56, 3 Y 3.54-3.55
Y: 0.0000 0.1668 0.5000 (multiplicity 4)  6 Y 3.53-3.54, 6 Tb 3.54-3.57
Y: 0.0000 0.5000 0.5000 (multiplicity 2)  6 Y 3.54, 6 Tb 3.55
Er: 0.0000 0.3341 0.0000 (multiplicity 4)  6 Tb 3.49, 3 Er 3.52-3.54, 3 Tl 3.53-3.55
Tl: 0.0000 0.0000 0.0000 (multiplicity 2)  6 Tb 3.46-3.48, 6 Er 3.53-3.55

Properties
DFT total energy: -4.8975 eV/atom
crystal system: monoclinic
magnetization: 0.00 μB/f.u.
ΔE_f: -0.0087 eV/atom

***

Record 7
A relaxed PrTmGa2Pd2 crystal. Source: the Alexandria database, functional PBE.

a = 4.5133 Å, b = 4.5133 Å, c = 7.0872 Å
α = 90.00°, β = 90.00°, γ = 120.00°
Closest atoms and distances in Å follow each position.
Space group P-3m1 (No. 164)
Asymmetric unit:
Pr: 0.0000 0.0000 0.0000 (multiplicity 1)  6 Ga 3.26, 6 Pd 3.29, 2 Tm 3.54
Tm: 0.0000 0.0000 0.5000 (multiplicity 1)  6 Pd 3.02, 6 Ga 3.05
Ga: 0.3333 0.6667 0.2765 (multiplicity 2)  3 Pd 2.61
Pd: 0.3333 0.6667 0.7166 (multiplicity 2)  3 Ga 2.61

Properties
DFT total energy: -5.1226 eV/atom
crystal system: trigonal
magnetization: 0.00 μB/f.u.
ΔE_f: -0.8409 eV/atom

***

Record 8
A relaxed Tb3Si6Ni2Pd crystal. Source: the Alexandria database, functional PBE.

a = 5.6904 Å, b = 5.6904 Å, c = 7.8564 Å
α = 90.00°, β = 90.00°, γ = 120.00°
Closest atoms and distances in Å follow each position.
Space group P-3m1 (No. 164)
Asymmetric unit:
Tb: 0.0000 0.0000 0.0000 (multiplicity 1)  6 Si 2.89
Tb: 0.3333 0.6667 0.6150 (multiplicity 2)  9 Si 2.98-2.99
Si: 0.1910 0.3820 0.2785 (multiplicity 6)  1 Ni 2.33, 2 Si 2.43, 1 Pd 2.56
Ni: 0.3333 0.6667 0.0411 (multiplicity 2)  3 Si 2.33
Pd: 0.0000 0.0000 0.5000 (multiplicity 1)  6 Si 2.56

Properties
DFT total energy: -5.6368 eV/atom
crystal system: trigonal
magnetization: 0.00 μB/f.u.
uncorrected formation energy: -4.46 eV per formula unit

***

Record 9
A relaxed TlAsPb2 crystal. Source: the Alexandria database, functional PBE.

a = 6.9285 Å, b = 6.9285 Å, c = 12.8935 Å
α = 90.00°, β = 90.00°, γ = 90.00°
Closest atoms and distances in Å follow each position.
Space group I-42d (No. 122)
Asymmetric unit:
Tl: 0.0000 0.0000 0.0000 (multiplicity 4)  4 Pb 3.05
As: 0.0000 0.0000 0.5000 (multiplicity 4)  4 Pb 2.83
Pb: 0.2232 0.2500 0.6250 (multiplicity 8)  2 As 2.83, 2 Tl 3.05

Properties
DFT total energy: -3.4199 eV/atom
crystal system: tetragonal
magnetization: 0.00 μB/f.u.
ΔE_f: 0.1882 eV/atom

***

Record 10
A relaxed Zn2AgF6 crystal. Source: the Alexandria database, functional PBE.

a = 4.8574 Å, b = 4.8574 Å, c = 10.0737 Å
α = 90.00°, β = 90.00°, γ = 90.00°
Closest atoms and distances in Å follow each position.
Space group P4_2/mnm (No. 136)
Asymmetric unit:
Zn: 0.0000 0.0000 0.1691 (multiplicity 4)  6 F 2.02-2.12
Ag: 0.0000 0.0000 0.5000 (multiplicity 2)  6 F 2.16-2.31
F: 0.1850 0.1850 0.0000 (multiplicity 4)  2 Zn 2.12, 1 Ag 2.16
F: 0.2067 0.2067 0.3196 (multiplicity 8)  2 Zn 2.02-2.08

Properties
DFT total energy: -3.7320 eV/atom
crystal system: tetragonal
magnetization: 1.04 μB/f.u.
uncorrected formation energy: -16.96 eV per formula unit

***

Record 11
A relaxed Hf3Al7Re2 crystal. Source: the Alexandria database, functional PBE.

a = 5.2526 Å, b = 5.2526 Å, c = 25.7635 Å
α = 90.00°, β = 90.00°, γ = 120.00°
Closest atoms and distances in Å follow each position.
Space group R-3m (No. 166, hexagonal axes)
Asymmetric unit:
Hf: 0.0000 0.0000 0.0000 (multiplicity 3)  6 Re 3.03, 12 Al 3.36
Hf: 0.0000 0.0000 0.1517 (multiplicity 6)  12 Al 2.98-3.19, 3 Hf 3.13
Al: 0.0000 0.0000 0.5000 (multiplicity 3)  6 Al 2.69
Al: 0.0083 0.5042 0.9187 (multiplicity 18)  2 Re 2.56-2.62, 5 Al 2.56-2.69
Re: 0.0000 0.0000 0.3358 (multiplicity 6)  6 Al 2.56-2.62

Properties
DFT total energy: -7.0377 eV/atom
crystal system: trigonal
magnetization: 0.00 μB/f.u.
ΔE_f: -0.2915 eV/atom

***

Record 12
A relaxed PuUTc2 crystal. Source: the Alexandria database, functional PBE.

a = 3.3583 Å, b = 3.3583 Å, c = 6.8757 Å
α = 90.00°, β = 90.00°, γ = 90.00°
Closest atoms and distances in Å follow each position.
Space group P4/mmm (No. 123)
Asymmetric unit:
Pu: 0.0000 0.0000 0.0000 (multiplicity 1)  8 Tc 3.06, 4 Pu 3.36
U: 0.0000 0.0000 0.5000 (multiplicity 1)  8 Tc 2.81
Tc: 0.5000 0.5000 0.2814 (multiplicity 2)  4 U 2.81, 1 Tc 3.01, 4 Pu 3.06

Properties
DFT total energy: -11.5680 eV/atom
crystal system: tetragonal
magnetization: 5.27 μB/f.u.
ΔE_f: 0.0200 eV/atom

***

> The lowest DFT total energy belongs to which entry?

PuUTc2